Density functional theory data (GGA-PBE) for a geometry-optimized MnTcSe structure.

a b c (Å): 5.848 5.848 5.848
angles (deg): 90.00 90.00 90.00
Atoms (fractional coordinates):
Mn1 0.000 0.000 0.000
Mn2 0.000 0.500 0.500
Mn3 0.500 0.000 0.500
Mn4 0.500 0.500 0.000
Tc1 0.250 0.250 0.250
Tc2 0.250 0.750 0.750
Tc3 0.750 0.250 0.750
Tc4 0.750 0.750 0.250
Se1 0.000 0.000 0.500
Se2 0.000 0.500 0.000
Se3 0.500 0.000 0.000
Se4 0.500 0.500 0.500

The formation energy without anion corrections comes out at 0.16 eV/atom. As for the size of the total moment: 2.0 μB/f.u. As for the crystal system: cubic. For the relative energy among the computed polymorphs, the calculation gives 8.0 meV/atom. As for the space group: F-43m (216).



Density functional theory data (GGA-PBE) for a geometry-optimized MnTc2Se structure.

a b c (Å): 2.914 2.914 6.517
angles (deg): 90.00 90.00 90.00
Atoms (fractional coordinates):
Mn1 0.000 0.000 0.000
Tc1 0.000 0.000 0.475
Tc2 0.500 0.500 0.734
Se1 0.500 0.500 0.208

The formation energy without anion corrections comes out at 0.15 eV/atom. As for the size of the total moment: 0.5 μB/f.u. As for the crystal system: tetragonal. As for the space group: P4mm (99).



Density functional theory data (GGA-PBE) for a geometry-optimized MnTc2Se structure.

a b c (Å): 2.847 4.002 5.139
angles (deg): 90.00 106.00 90.00
Atoms (fractional coordinates):
Mn1 0.000 0.000 0.000
Tc1 0.370 0.500 0.742
Tc2 0.743 0.000 0.488
Se1 0.120 0.500 0.242

The formation energy without anion corrections comes out at 0.25 eV/atom. As for the size of the total moment: 0.9 μB/f.u. As for the crystal system: monoclinic. As for the space group: Pm (6).



Density functional theory data (GGA-PBE) for a geometry-optimized MnTc4Se8 structure.

a b c (Å): 8.136 8.136 8.136
angles (deg): 47.03 47.03 47.03
Atoms (fractional coordinates):
Mn1 0.000 0.000 0.000
Tc1 0.000 0.000 0.500
Tc2 0.000 0.500 0.000
Tc3 0.500 0.000 0.000
Tc4 0.500 0.500 0.500
Se1 0.245 0.748 0.748
Se2 0.247 0.247 0.247
Se3 0.252 0.252 0.755
Se4 0.252 0.755 0.252
Se5 0.748 0.245 0.748
Se6 0.748 0.748 0.245
Se7 0.753 0.753 0.753
Se8 0.755 0.252 0.252

The formation energy without anion corrections comes out at -0.13 eV/atom. As for the size of the total moment: 4.2 μB/f.u. As for the crystal system: trigonal. As for the space group: R-3m (166).



Density functional theory data (GGA-PBE) for a geometry-optimized MnTc2Se structure.

a b c (Å): 2.846 2.846 24.783
angles (deg): 90.00 90.00 120.00
Atoms (fractional coordinates):
Mn1 0.000 0.000 0.000
Mn2 0.333 0.667 0.667
Mn3 0.667 0.333 0.333
Tc1 0.000 0.000 0.502
Tc2 0.000 0.000 0.752
Tc3 0.333 0.667 0.169
Tc4 0.333 0.667 0.418
Tc5 0.667 0.333 0.085
Tc6 0.667 0.333 0.836
Se1 0.000 0.000 0.260
Se2 0.333 0.667 0.926
Se3 0.667 0.333 0.593

The formation energy without anion corrections comes out at 0.23 eV/atom. As for the size of the total moment: 1.8 μB/f.u. As for the crystal system: trigonal. As for the space group: R3m (160).



Density functional theory data (GGA-PBE) for a geometry-optimized MnTc2Se structure.

a b c (Å): 2.978 4.330 8.658
angles (deg): 90.00 90.00 90.00
Atoms (fractional coordinates):
Mn1 0.000 0.000 0.000
Mn2 0.500 0.500 0.500
Tc1 0.000 0.000 0.458
Tc2 0.000 0.500 0.230
Tc3 0.500 0.000 0.730
Tc4 0.500 0.500 0.958
Se1 0.000 0.500 0.720
Se2 0.500 0.000 0.220

The formation energy without anion corrections comes out at 0.18 eV/atom. As for the size of the total moment: 1.5 μB/f.u. As for the crystal system: orthorhombic. As for the space group: Imm2 (44).



Density functional theory data (GGA-PBE) for a geometry-optimized MnTcSe structure.

a b c (Å): 3.000 3.000 5.868
angles (deg): 90.00 90.00 120.00
Atoms (fractional coordinates):
Mn1 0.000 0.000 0.000
Tc1 0.667 0.333 0.682
Se1 0.333 0.667 0.335

The formation energy without anion corrections comes out at 0.23 eV/atom. As for the size of the total moment: 2.5 μB/f.u. As for the crystal system: trigonal. For the relative energy among the computed polymorphs, the calculation gives 81.8 meV/atom. As for the space group: P3m1 (156).



Density functional theory data (GGA-PBE) for a geometry-optimized MnTc2Se structure.

a b c (Å): 3.010 4.400 4.406
angles (deg): 90.00 90.00 90.00
Atoms (fractional coordinates):
Mn1 0.000 0.000 0.000
Tc1 0.000 0.500 0.500
Tc2 0.500 0.500 0.000
Se1 0.500 0.000 0.500

The formation energy without anion corrections comes out at 0.37 eV/atom. As for the size of the total moment: 1.9 μB/f.u. As for the crystal system: orthorhombic. As for the space group: Pmmm (47).